# CaTm2F8

An optimized crystal structure of CaTm2F8 (PBE, the Alexandria database).

Output
**Formation energy (no corrections)**: -4.0780 eV per atom
**Spin magnetization**: 0.00 μB per formula unit
**Calculated total energy**: -6.43 eV/atom

```
data_CaTm2F8
_chemical_formula_sum 'Ca2 Tm4 F16'
_symmetry_space_group_name_H-M 'C 1 2/m 1'
_symmetry_Int_Tables_number 12
_symmetry_space_group_name_Hall '-C 2y'
_cell_length_a 14.478
_cell_length_b 3.626
_cell_length_c 5.460
_cell_angle_alpha 90.00
_cell_angle_beta 108.68
_cell_angle_gamma 90.00
loop_
_atom_site_label
_atom_site_fract_x
_atom_site_fract_y
_atom_site_fract_z
Ca1 0.000 0.000 0.000
Tm1 0.179 0.500 0.689
F1 0.046 0.500 0.808
F2 0.100 0.000 0.461
F3 0.182 0.000 0.966
F4 0.215 0.500 0.329
```